Material: NaY2Te6Pb3
Method: DFT, PBE
State: optimized geometry

abc: 4.4627 9.2860 10.2151
angles: 104.03 102.62 90.00
Closest atoms and distances in Å follow each position.
Atoms (fractional coordinates):
Te  0.3293  0.4161  0.6585  3 Y 3.12-3.13, 3 Pb 3.30-3.39
Te  0.6744  0.1116  0.3488  2 Y 3.14, 3 Pb 3.26-3.29, 1 Na 3.37
Te  0.3256  0.8884  0.6512  2 Y 3.14, 3 Pb 3.26-3.29, 1 Na 3.37
Te  0.0091  0.2525  0.0183  1 Y 3.07, 2 Na 3.21, 3 Pb 3.21-3.24
Y  0.8321  0.6536  0.6642  6 Te 3.07-3.14
Te  0.9909  0.7475  0.9817  1 Y 3.07, 2 Na 3.21, 3 Pb 3.21-3.24
Pb  0.1572  0.8494  0.3144  6 Te 3.21-3.39
Te  0.6707  0.5839  0.3415  3 Y 3.12-3.13, 3 Pb 3.30-3.39
Pb  0.5000  0.5000  0.0000  6 Te 3.24-3.30
Pb  0.8428  0.1506  0.6856  6 Te 3.21-3.39
Na  0.5000  0.0000  0.0000  6 Te 3.21-3.37
Y  0.1679  0.3464  0.3358  6 Te 3.07-3.14

Output
* SG: C2/m
* VASP energy: -53.91 eV per cell
* formation energy (no corrections): -77.89 kJ/mol of atoms
* calculated volume: 400 Å³/cell
* density of states at the Fermi level: 4.3 states/eV/f.u.
* spin magnetization: 0.0 μB/f.u.